Computed, not measured: a relaxed MnRhS3 crystal at the GGA-PBE level of DFT.

a b c (Å): 4.3469 4.3469 4.3469
angles (deg): 90.00 90.00 90.00
Last column: nearest neighbours and their distance in Å.
Fractional positions:
S1 0.0000 0.5000 0.0000  2 Mn 2.17
S2 0.0000 0.0000 0.5000  2 Mn 2.17
S3 0.5000 0.0000 0.0000  2 Mn 2.17
Mn1 0.0000 0.0000 0.0000  6 S 2.17
Rh1 0.5000 0.5000 0.5000  12 S 3.07

- electronic total energy (eV per atom) = -5.169
- excess energy over the best structure of this formula in the dataset (meV/atom) = 974
- spin magnetization (μB per formula unit) = 0.00
- energy relative to the elements, uncorrected (eV/atom) = 0.612
- theoretical density (g/cm3) = 5.14
- D(E_F) (states/eV/f.u.) = 7.05